## i
First-principles (PBEsol) data for crystalline VH10SO10 at its relaxed geometry, as listed in the Alexandria database.

Cell lengths 7.166, 9.213, 6.093 Å; angles 90.00, 90.00, 90.00 degrees
Space group Pmn2_1 (No. 31)
Unique sites:
1 V 0.000 0.218 0.000
2 H 0.111 0.322 0.414
3 H 0.155 0.992 0.188
4 H 0.179 0.471 0.996
5 H 0.187 0.876 0.699
6 H 0.240 0.638 0.310
7 S 0.000 0.741 0.031
8 O 0.000 0.166 0.750
9 O 0.000 0.336 0.319
10 O 0.000 0.810 0.811
11 O 0.000 0.849 0.209
12 O 0.170 0.647 0.053
13 O 0.193 0.089 0.131
14 O 0.205 0.367 0.961

Output
ρ, g/cm3: 2.09
M_tot, μB per formula unit: 1.0

## ii
First-principles (PBEsol) data for crystalline VH10SO10 at its relaxed geometry, as listed in the Alexandria database.

Cell lengths 6.919, 9.659, 12.712 Å; angles 90.00, 112.94, 90.00 degrees
Space group P2_1/c (No. 14)
Unique sites:
1 V 0.162 0.224 0.351
2 H 0.085 0.562 0.632
3 H 0.106 0.731 0.900
4 H 0.123 0.653 0.062
5 H 0.129 0.008 0.848
6 H 0.196 0.605 0.200
7 H 0.265 0.150 0.060
8 H 0.266 0.536 0.926
9 H 0.333 0.191 0.597
10 H 0.335 0.736 0.007
11 H 0.404 0.011 0.355
12 S 0.493 0.057 0.823
13 O 0.046 0.089 0.856
14 O 0.062 0.204 0.213
15 O 0.076 0.632 0.127
16 O 0.209 0.678 0.968
17 O 0.258 0.247 0.031
18 O 0.288 0.520 0.605
19 O 0.321 0.049 0.398
20 O 0.348 0.553 0.326
21 O 0.443 0.189 0.871
22 O 0.470 0.082 0.704

Output
ρ, g/cm3: 2.15
M_tot, μB per formula unit: 1.0

Which structure is the most stable? The one labeled ii.